An optimized crystal structure of NaHg4Au, computed with PBE-GGA.

The structure in POSCAR format:
```
NaHg4Au
1.0
7.142 -3.923 0.000
7.142 3.923 0.000
-1.473 0.000 5.364
Na Hg Au
2 8 2
direct
0.212 0.212 0.144
0.788 0.788 0.856
0.058 0.683 0.421
0.196 0.804 0.000
0.317 0.942 0.579
0.337 0.337 0.741
0.663 0.663 0.259
0.683 0.058 0.421
0.804 0.196 0.000
0.942 0.317 0.579
0.435 0.435 0.258
0.565 0.565 0.742
```

Computed properties:
- ρ (g cm⁻³) = 11.3
- spin magnetization (μB/cell) = 0.00
- SG = No. 12
- calculated total energy (eV/atom) = -1.063

An optimized crystal structure of Na2Hg2Au, computed with PBE-GGA.

The structure in POSCAR format:
```
Na2Hg2Au
1.0
7.508 0.000 0.000
0.000 7.508 0.000
0.000 0.000 4.498
Na Hg Au
4 4 2
direct
0.171 0.329 0.000
0.329 0.829 0.000
0.671 0.171 0.000
0.829 0.671 0.000
0.139 0.639 0.500
0.361 0.139 0.500
0.639 0.861 0.500
0.861 0.361 0.500
0.000 0.000 0.500
0.500 0.500 0.500
```

Computed properties:
- ρ (g cm⁻³) = 8.4
- spin magnetization (μB/cell) = 0.00
- SG = No. 127
- calculated total energy (eV/atom) = -1.526

An optimized crystal structure of Na4Hg15Au, computed with PBE-GGA.

The structure in POSCAR format:
```
Na4Hg15Au
1.0
4.730 0.000 0.000
0.000 4.730 0.000
0.000 0.000 22.388
Na Hg Au
4 15 1
direct
0.000 0.000 0.103
0.000 0.000 0.308
0.000 0.000 0.692
0.000 0.000 0.897
0.000 0.500 0.000
0.000 0.500 0.205
0.000 0.500 0.407
0.000 0.500 0.593
0.000 0.500 0.795
0.500 0.000 0.000
0.500 0.000 0.205
0.500 0.000 0.407
0.500 0.000 0.593
0.500 0.000 0.795
0.500 0.500 0.103
0.500 0.500 0.306
0.500 0.500 0.500
0.500 0.500 0.694
0.500 0.500 0.897
0.000 0.000 0.500
```

Computed properties:
- ρ (g cm⁻³) = 10.9
- spin magnetization (μB/cell) = 0.00
- SG = No. 123
- calculated total energy (eV/atom) = -0.782

An optimized crystal structure of Na12Hg3Au, computed with PBE-GGA.

The structure in POSCAR format:
```
Na12Hg3Au
1.0
4.904 0.000 0.000
0.000 4.904 0.000
0.000 0.000 18.721
Na Hg Au
12 3 1
direct
0.000 0.000 0.000
0.000 0.000 0.243
0.000 0.000 0.500
0.000 0.000 0.757
0.000 0.500 0.114
0.000 0.500 0.372
0.000 0.500 0.628
0.000 0.500 0.886
0.500 0.000 0.114
0.500 0.000 0.372
0.500 0.000 0.628
0.500 0.000 0.886
0.500 0.500 0.246
0.500 0.500 0.500
0.500 0.500 0.754
0.500 0.500 0.000
```

Computed properties:
- ρ (g cm⁻³) = 4.0
- spin magnetization (μB/cell) = 0.00
- SG = No. 123
- calculated total energy (eV/atom) = -1.396